(1)
The following is a DFT calculation (GGA-PBE) of a relaxed structure of Ac2Tl3In2.

a b c (Å): 4.957 6.495 7.688
angles (deg): 76.05 90.00 112.43
Element x y z (fractional)
In 0.100 0.200 0.575
Ac 0.365 0.730 0.769
Ac 0.635 0.270 0.231
Tl 0.000 0.000 0.000
Tl 0.669 0.339 0.751
Tl 0.331 0.661 0.249
In 0.900 0.800 0.425

Space group: C2/m, No. 12
E_form, eV/atom: -0.339
Crystal system: monoclinic

---

(2)
The following is a DFT calculation (GGA-PBE) of a relaxed structure of Ac5TlIn6.

a b c (Å): 5.289 9.522 9.677
angles (deg): 119.47 105.85 90.00
Element x y z (fractional)
Ac 0.674 0.673 0.346
Ac 0.356 0.856 0.711
Tl 0.000 0.000 0.000
Ac 0.000 0.500 0.000
In 0.829 0.574 0.659
Ac 0.326 0.327 0.654
In 0.171 0.426 0.341
In 0.500 0.736 0.000
Ac 0.644 0.144 0.289
In 0.500 0.264 0.000
In 0.171 0.915 0.341
In 0.829 0.085 0.659

Space group: Immm, No. 71
E_form, eV/atom: -0.362
Crystal system: orthorhombic

---

(3)
The following is a DFT calculation (GGA-PBE) of a relaxed structure of Ac2TlIn2.

a b c (Å): 5.069 6.664 11.002
angles (deg): 88.99 76.68 67.65
Element x y z (fractional)
Tl 0.627 0.085 0.661
In 0.922 0.718 0.437
In 0.078 0.282 0.563
Ac 0.080 0.738 0.102
Ac 0.920 0.262 0.898
In 0.642 0.823 0.893
Tl 0.373 0.915 0.339
Ac 0.677 0.320 0.326
In 0.358 0.177 0.107
Ac 0.323 0.680 0.674

Space group: C2/m, No. 12
E_form, eV/atom: -0.410
Crystal system: monoclinic

---

(4)
The following is a DFT calculation (GGA-PBE) of a relaxed structure of Ac3TlIn.

a b c (Å): 5.688 5.691 11.785
angles (deg): 90.00 76.04 90.00
Element x y z (fractional)
Tl 0.978 0.250 0.692
Ac 0.574 0.250 0.501
Tl 0.670 0.750 0.308
Ac 0.075 0.750 0.499
Ac 0.762 0.250 0.124
In 0.478 0.750 0.692
Ac 0.264 0.750 0.121
Ac 0.886 0.750 0.876
In 0.170 0.250 0.308
Ac 0.385 0.250 0.879

Space group: Cmcm, No. 63
E_form, eV/atom: -0.286
Crystal system: orthorhombic

---

(5)
The following is a DFT calculation (GGA-PBE) of a relaxed structure of AcTlIn.

a b c (Å): 4.959 4.959 9.232
angles (deg): 90.00 90.00 119.99
Element x y z (fractional)
In 0.333 0.167 0.750
Ac 0.000 0.500 0.500
In 0.667 0.833 0.250
Tl 0.333 0.167 0.250
Ac 0.000 0.500 0.000
Tl 0.667 0.833 0.750

Energy above the lowest structure with this stoichiometry, meV/atom: 57
Space group: P6_3/mmc, No. 194
E_form, eV/atom: -0.329
Crystal system: hexagonal

---

(6)
The following is a DFT calculation (GGA-PBE) of a relaxed structure of Ac12Tl6In.

a b c (Å): 9.858 9.858 9.858
angles (deg): 108.11 108.11 108.11
Element x y z (fractional)
Ac 0.007 0.871 0.309
In 0.000 0.000 0.000
Ac 0.871 0.309 0.007
Tl 0.648 0.342 0.196
Ac 0.444 0.114 0.349
Ac 0.114 0.349 0.444
Tl 0.196 0.648 0.342
Ac 0.993 0.129 0.691
Ac 0.691 0.993 0.129
Ac 0.129 0.691 0.993
Ac 0.309 0.007 0.871
Tl 0.352 0.658 0.804
Tl 0.804 0.352 0.658
Ac 0.886 0.651 0.556
Tl 0.342 0.196 0.648
Tl 0.658 0.804 0.352
Ac 0.556 0.886 0.651
Ac 0.651 0.556 0.886
Ac 0.349 0.444 0.114

Energy above the lowest structure with this stoichiometry, meV/atom: 83
Space group: R-3, No. 148
E_form, eV/atom: -0.099
Crystal system: trigonal